DFT (PBE) results for Na2Fe2As2H after structural relaxation.

```
Na2Fe2As2H
1.0
-1.882 1.882 7.477
1.882 -1.882 7.477
1.882 1.882 -7.477
Na Fe As H
2 2 2 1
direct
0.177 0.177 0.000 Na
0.823 0.823 0.000 Na
0.000 0.500 0.500 Fe
0.500 0.000 0.500 Fe
0.397 0.397 0.000 As
0.603 0.603 0.000 As
0.000 0.000 0.000 H
```

Computed properties:
The crystal system is tetragonal. The value obtained for the magnetic moment is 1.78 μB per formula unit. The value obtained for the energy is -33.82 eV/cell.